A geometry-optimized BaCaEu2 structure. Source: the Alexandria database, functional PBE.

The calculation puts the total energy at -97.166 eV per cell. Its energy of formation is 0.0454 eV/atom. The value obtained for the density of states at the Fermi level is 5.564 states/eV per atom. The value obtained for the calculated density is 4.22 g/cm³.

The space group is Fm-3m (No. 225) and the conventional cell measures 9.115, 9.115 and 9.115 Å, with angles of 90.00, 90.00 and 90.00 degrees. The inequivalent atoms are Ba at (0.000, 0.000, 0.000), Ca at (0.000, 0.000, 0.500) and Eu at (0.250, 0.250, 0.250).



A geometry-optimized BaCa4Eu structure. Source: the Alexandria database, functional PBE.

The calculation puts the total energy at -79.500 eV per cell. Its energy of formation is 0.0547 eV/atom. The value obtained for the density of states at the Fermi level is 0.970 states/eV per atom. The value obtained for the calculated density is 2.57 g/cm³.

The space group is F-43m (No. 216) and the conventional cell measures 10.507, 10.507 and 10.507 Å, with angles of 90.00, 90.00 and 90.00 degrees. The inequivalent atoms are Ba at (0.000, 0.000, 0.000), Ca at (0.125, 0.125, 0.625) and Eu at (0.250, 0.250, 0.250).



energy of formation of number 2 (BaCa4Eu)? 0.0547 eV/atom



The lowest calculated density belongs to which entry? BaCa4Eu